Record 1
Compound: ScCdInGe2
Source: Alexandria via LeMat-Bulk
Functional: GGA-PBE
Structure: optimized geometry

```
ScCdInGe2
1.0
5.187 0.000 0.000
0.000 5.187 0.000
0.000 0.000 5.496
Sc Cd In Ge
1 1 1 2
direct
0.000 0.000 0.000
0.500 0.500 0.000
0.000 0.000 0.500
0.000 0.500 0.500
0.500 0.000 0.500
```

Properties
- space-group type = No. 123
- total moment (μB/f.u.) = 0.00
- energy of formation (eV/atom) = 0.655


Record 2
Compound: Sc6Sn3O
Source: Alexandria via LeMat-Bulk
Functional: GGA-PBE
Structure: optimized geometry

```
Sc6Sn3O
1.0
5.702 -6.675 0.000
5.702 6.675 0.000
0.000 0.000 5.923
Sc Sn O
12 6 2
direct
0.094 0.906 0.500
0.135 0.555 0.314
0.225 0.329 0.864
0.299 0.701 0.802
0.329 0.225 0.364
0.445 0.865 0.314
0.555 0.135 0.814
0.671 0.775 0.864
0.701 0.299 0.302
0.775 0.671 0.364
0.865 0.445 0.814
0.906 0.094 0.000
0.011 0.246 0.494
0.246 0.011 0.994
0.475 0.525 0.139
0.525 0.475 0.639
0.754 0.989 0.494
0.989 0.754 0.994
0.251 0.749 0.479
0.749 0.251 0.979
```

Properties
- space-group type = No. 36
- energy relative to the elements, uncorrected (eV per atom) = -0.94
- total moment (μB/f.u.) = 0.00


Record 3
Compound: Ac2PmTl4
Source: Alexandria via LeMat-Bulk
Functional: GGA-PBE
Structure: optimized geometry

```
Ac2PmTl4
1.0
-2.817 2.817 7.697
2.817 -2.817 7.697
2.817 2.817 -7.697
Ac Pm Tl
2 1 4
direct
0.242 0.242 0.000
0.758 0.758 0.000
0.500 0.500 0.000
0.107 0.607 0.500
0.393 0.893 0.500
0.607 0.107 0.500
0.893 0.393 0.500
```

Properties
- space-group type = No. 139
- distance to the lowest polymorph of the same formula (eV per formula unit) = 0.51
- total moment (μB/f.u.) = 0.00
- energy of formation (eV/atom) = -0.225